DFT (PBE-GGA) results for La2Pr3Nd7 after structural relaxation.

POSCAR file:
```
La2Pr3Nd7
1.0
3.678 0.000 0.000
0.000 6.066 0.276
0.000 -1.892 19.407
Pr Nd La
3 7 2
direct
0.000 0.785 0.632
0.000 0.215 0.368
0.500 0.500 0.000
0.000 0.685 0.144
0.500 0.743 0.464
0.000 0.315 0.856
0.000 0.000 0.000
0.500 0.814 0.826
0.500 0.257 0.536
0.500 0.186 0.174
0.500 0.705 0.295
0.500 0.295 0.705
```

Summary:
- Fermi-level density of states (states/eV per atom) = 1.430
- symmetry = No. 10
- uncorrected energy (eV per atom) = -4.718
- formation energy (eV per atom) = 0.0792
- total magnetization (Bohr magnetons per cell) = 0.000